Entry from the Alexandria database: a relaxed structure of Li5CdAg3 (PBE).

The calculated volume comes out at 17.20 Å³ per atom. The calculation puts the density of states at the Fermi level at 6.325 states/eV/cell. The total energy is -2.283 eV per atom. As for the calculated formation energy: -0.1673 eV/atom.

The structure belongs to space group P6_3/mcm (No. 193); the cell edges are 8.0060, 8.0060 and 5.5759 Å and the angles 90.00°, 90.00° and 120.00°. The asymmetric unit holds Li at (0.0000, 0.3179, 0.2500), Li at (0.3333, 0.6667, 0.0000), Cd at (0.0000, 0.0000, 0.0000) and Ag at (0.0000, 0.3535, 0.7500).

=====

Entry from the Alexandria database: a relaxed structure of PmTl2BiO6 (PBE).

The formation energy from raw total energies comes out at -1.4634 eV/atom. The calculated volume comes out at 15.94 Å³ per atom. The total energy is -5.775 eV per atom.

The structure belongs to space group R3 (No. 146, hexagonal axes); the cell edges are 5.9821, 5.9821 and 15.4316 Å and the angles 90.00°, 90.00° and 120.00°. The asymmetric unit holds Pm at (0.0000, 0.0000, 0.0000), Tl at (0.0000, 0.0000, 0.2745), Tl at (0.0000, 0.0000, 0.7795), Bi at (0.0000, 0.0000, 0.4950), O at (0.0105, 0.7175, 0.3908) and O at (0.0183, 0.2944, 0.8887).

=====

Entry from the Alexandria database: a relaxed structure of AsS2BrN (PBE).

The formation energy from raw total energies comes out at 1.6731 eV/atom. The calculated volume comes out at 18.74 Å³ per atom. The calculation puts the density of states at the Fermi level at 2.777 states/eV/cell. The calculation puts the distance to the lowest polymorph of the same formula at 0.5307 eV/atom. The total energy is -2.907 eV per atom.

The structure belongs to space group P4/mmm (No. 123); the cell edges are 5.0397, 5.0397 and 3.6887 Å and the angles 90.00°, 90.00° and 90.00°. The asymmetric unit holds As at (0.0000, 0.0000, 0.0000), S at (0.0000, 0.5000, 0.5000), Br at (0.5000, 0.5000, 0.5000) and N at (0.5000, 0.5000, 0.0000).

=====

Entry from the Alexandria database: a relaxed structure of BeInCl2 (PBE).

The formation energy from raw total energies comes out at -0.4853 eV/atom. The calculated volume comes out at 24.70 Å³ per atom. The calculation puts the density of states at the Fermi level at 1.137 states/eV/cell. The calculation puts the distance to the lowest polymorph of the same formula at 0.2614 eV/atom. The total energy is -3.025 eV per atom.

The structure belongs to space group Cmm2 (No. 35); the cell edges are 3.3067, 6.7107 and 8.9031 Å and the angles 90.00°, 90.00° and 90.00°. The asymmetric unit holds Be at (0.0000, 0.0000, 0.0000), In at (0.0000, 0.5000, 0.7664), Cl at (0.0000, 0.0000, 0.5407) and Cl at (0.0000, 0.5000, 0.1416).

=====

> The highest calculated volume belongs to which entry?

BeInCl2